1.
Crystalline PrYTm2 at its relaxed geometry. Source: Alexandria, functional PBE.

a = 8.0412 Å, b = 8.0412 Å, c = 8.0412 Å
α = 90.00°, β = 90.00°, γ = 90.00°
Space group Fm-3m (No. 225)
Symmetry-distinct sites (fractional):
Pr (0.0000, 0.0000, 0.0000) x4
Y (0.0000, 0.0000, 0.5000) x4
Tm (0.2500, 0.2500, 0.2500) x8

energy of formation = 0.107 eV/atom
total magnetization = 0.00 μB per atom
E above lowest polymorph = 0.40 eV/f.u.
E_tot = -4.939 eV/atom

2.
Crystalline PrY6Tm4 at its relaxed geometry. Source: Alexandria, functional PBE.

a = 9.0679 Å, b = 9.0679 Å, c = 5.2827 Å
α = 90.00°, β = 90.00°, γ = 120.00°
Space group P-6m2 (No. 187)
Symmetry-distinct sites (fractional):
Pr (0.0000, 0.0000, 0.0000) x1
Y (0.2060, 0.4119, 0.5000) x3
Y (0.5351, 0.0702, 0.0000) x3
Tm (0.3333, 0.6667, 0.0000) x1
Tm (0.4115, 0.2058, 0.5000) x3

energy of formation = 0.332 eV/atom
total magnetization = 0.12 μB per atom
E above lowest polymorph = 2.37 eV/f.u.
E_tot = -5.254 eV/atom

3.
Crystalline Pr6Y4Tm at its relaxed geometry. Source: Alexandria, functional PBE.

a = 6.8955 Å, b = 6.8955 Å, c = 16.3744 Å
α = 90.00°, β = 90.00°, γ = 90.00°
Space group I-42m (No. 121)
Symmetry-distinct sites (fractional):
Pr (0.0000, 0.5000, 0.0000) x4
Pr (0.1918, 0.1918, 0.1781) x8
Y (0.1740, 0.1740, 0.3892) x8
Tm (0.0000, 0.0000, 0.0000) x2

energy of formation = 0.297 eV/atom
total magnetization = 0.00 μB per atom
E above lowest polymorph = 0.31 eV/f.u.
E_tot = -5.067 eV/atom

4.
Crystalline Pr5Y2Tm4 at its relaxed geometry. Source: Alexandria, functional PBE.

a = 3.5384 Å, b = 9.1110 Å, c = 23.7633 Å
α = 90.00°, β = 90.00°, γ = 90.00°
Space group Immm (No. 71)
Symmetry-distinct sites (fractional):
Pr (0.0000, 0.0000, 0.0000) x2
Pr (0.0000, 0.3006, 0.3560) x8
Y (0.0000, 0.5000, 0.2306) x4
Tm (0.0000, 0.1824, 0.5000) x4
Tm (0.0000, 0.5000, 0.0961) x4

energy of formation = 0.179 eV/atom
total magnetization = 0.00 μB per atom
E above lowest polymorph = 0.51 eV/f.u.
E_tot = -4.795 eV/atom

Which Fermi-level density of states belongs to each record? In order, 6.3 17.8 15.3 18.2 states/eV/f.u..